(1)
The following is a DFT calculation (SCAN) of a PBEsol-optimized structure of SmCd2.

Unit cell a=3.3169 b=4.9632 c=4.9632 alpha=120.00 beta=90.00 gamma=90.00
Element x y z (fractional)
Sm: 0.5000 0.0000 0.0000
Cd: 0.0000 0.3333 0.6667
Cd: 0.0000 0.6667 0.3333

Computed properties:
- DOS(E_F): 1.83 states/eV/f.u.
- E_form: -431 meV/atom
- Total magnetic moment: 0.1221 μB per atom
- Space group: P6/mmm

***

(2)
The following is a DFT calculation (SCAN) of a PBEsol-optimized structure of SmCd11.

Unit cell a=9.1930 b=9.1930 c=9.1930 alpha=90.00 beta=90.00 gamma=90.00
Element x y z (fractional)
Sm: 0.5000 0.0000 0.0000
Sm: 0.0000 0.0000 0.5000
Sm: 0.0000 0.5000 0.0000
Cd: 0.5000 0.5000 0.5000
Cd: 0.1570 0.1570 0.8430
Cd: 0.1570 0.8430 0.1570
Cd: 0.8430 0.1570 0.1570
Cd: 0.8430 0.8430 0.8430
Cd: 0.8430 0.8430 0.1570
Cd: 0.8430 0.1570 0.8430
Cd: 0.1570 0.8430 0.8430
Cd: 0.1570 0.1570 0.1570
Cd: 0.0000 0.3448 0.6552
Cd: 0.3448 0.3448 0.0000
Cd: 0.3448 0.0000 0.6552
Cd: 0.0000 0.6552 0.3448
Cd: 0.3448 0.6552 0.0000
Cd: 0.3448 0.0000 0.3448
Cd: 0.0000 0.3448 0.3448
Cd: 0.6552 0.3448 0.0000
Cd: 0.6552 0.0000 0.3448
Cd: 0.0000 0.6552 0.6552
Cd: 0.6552 0.6552 0.0000
Cd: 0.6552 0.0000 0.6552
Cd: 0.5000 0.2657 0.7343
Cd: 0.2657 0.2657 0.5000
Cd: 0.2657 0.5000 0.7343
Cd: 0.5000 0.7343 0.2657
Cd: 0.2657 0.7343 0.5000
Cd: 0.2657 0.5000 0.2657
Cd: 0.5000 0.2657 0.2657
Cd: 0.7343 0.2657 0.5000
Cd: 0.7343 0.5000 0.2657
Cd: 0.5000 0.7343 0.7343
Cd: 0.7343 0.7343 0.5000
Cd: 0.7343 0.5000 0.7343

Computed properties:
- DOS(E_F): 3.18 states/eV/f.u.
- E_form: -182 meV/atom
- Total magnetic moment: 0.0000 μB per atom
- Space group: Pm-3m

***

(3)
The following is a DFT calculation (SCAN) of a PBEsol-optimized structure of Sm2TlCd.

Unit cell a=5.3251 b=5.3251 c=5.3251 alpha=60.00 beta=60.00 gamma=60.00
Element x y z (fractional)
Tl: 0.5000 0.5000 0.5000
Sm: 0.7500 0.7500 0.7500
Sm: 0.2500 0.2500 0.2500
Cd: 0.0000 0.0000 0.0000

Computed properties:
- DOS(E_F): 2.20 states/eV/f.u.
- E_form: -535 meV/atom
- Total magnetic moment: 0.2152 μB per atom
- Space group: Fm-3m

***

(4)
The following is a DFT calculation (SCAN) of a PBEsol-optimized structure of SmZn2Cd.

Unit cell a=4.7754 b=4.7754 c=4.7754 alpha=60.00 beta=60.00 gamma=60.00
Element x y z (fractional)
Zn: 0.2500 0.2500 0.2500
Zn: 0.7500 0.7500 0.7500
Sm: 0.0000 0.0000 0.0000
Cd: 0.5000 0.5000 0.5000

Computed properties:
- DOS(E_F): 1.14 states/eV/f.u.
- E_form: -383 meV/atom
- Total magnetic moment: 0.0000 μB per atom
- Space group: Fm-3m

***

(5)
The following is a DFT calculation (SCAN) of a PBEsol-optimized structure of Sr2CdSn.

Unit cell a=5.6168 b=5.6168 c=5.6168 alpha=60.00 beta=60.00 gamma=60.00
Element x y z (fractional)
Sr: 0.2500 0.2500 0.2500
Sr: 0.7500 0.7500 0.7500
Sn: 0.5000 0.5000 0.5000
Cd: 0.0000 0.0000 0.0000

Computed properties:
- DOS(E_F): 0.75 states/eV/f.u.
- E_form: -620 meV/atom
- Total magnetic moment: 0.0000 μB per atom
- Space group: Fm-3m

***

(6)
The following is a DFT calculation (SCAN) of a PBEsol-optimized structure of SrTi2CdSn.

Unit cell a=5.2158 b=5.2158 c=5.3676 alpha=90.00 beta=90.00 gamma=90.00
Element x y z (fractional)
Sr: 0.5000 0.5000 0.5000
Ti: 0.0000 0.5000 0.0000
Ti: 0.5000 0.0000 0.0000
Sn: 0.0000 0.0000 0.0000
Cd: 0.0000 0.0000 0.5000

Computed properties:
- DOS(E_F): 4.86 states/eV/f.u.
- E_form: 484 meV/atom
- Total magnetic moment: 0.8639 μB per atom
- Space group: P4/mmm

***

(7)
The following is a DFT calculation (SCAN) of a PBEsol-optimized structure of CdSnTe2.

Unit cell a=4.3567 b=4.3567 c=7.4470 alpha=72.99 beta=72.99 gamma=60.00
Element x y z (fractional)
Te: 0.7459 0.7459 0.7624
Te: 0.2541 0.2541 0.2376
Sn: 0.5000 0.5000 0.5000
Cd: 0.0000 0.0000 0.0000

Computed properties:
- DOS(E_F): 1.29 states/eV/f.u.
- Total magnetic moment: 0.0000 μB per atom
- Formation energy without anion corrections: -0.26 eV per atom
- Space group: R-3m

***

(8)
The following is a DFT calculation (SCAN) of a PBEsol-optimized structure of CdSnTe3.

Unit cell a=5.4710 b=5.4710 c=5.4710 alpha=90.00 beta=90.00 gamma=90.00
Element x y z (fractional)
Te: 0.0000 0.5000 0.0000
Te: 0.0000 0.0000 0.5000
Te: 0.5000 0.0000 0.0000
Sn: 0.5000 0.5000 0.5000
Cd: 0.0000 0.0000 0.0000

Computed properties:
- DOS(E_F): 3.44 states/eV/f.u.
- Total magnetic moment: 0.0000 μB per atom
- Formation energy without anion corrections: 0.42 eV per atom
- Space group: Pm-3m